[1]
First-principles (PBE) data for an optimized crystal structure of SrLi2Ca6, as listed in the Alexandria database.

Geometry as extended XYZ:
```
9
Lattice="-1.7574 -0.7820 5.5063 1.3153 -8.3327 -0.7636 6.2120 5.0384 2.6982" Properties=species:S:1:pos:R:3 pbc="T T T"
Li 4.5902 0.5755 1.5467
Li 2.9393 -3.8839 0.3865
Ca 2.5134 -1.8816 3.6241
Ca 5.5459 -2.4315 1.4247
Ca 1.6365 1.3221 0.7101
Ca -0.1574 -4.9604 2.3344
Ca 0.3438 -2.1782 -0.1996
Sr 0.4349 -8.7129 1.9905
Ca 2.5357 2.3711 4.2352
```

Calculated values
SG ... No. 38
Distance to the lowest polymorph of the same formula ... 9.4 kJ/mol of atoms

[2]
First-principles (PBE) data for an optimized crystal structure of SrLiCa, as listed in the Alexandria database.

Geometry as extended XYZ:
```
3
Lattice="-4.7685 -1.9702 -3.0022 0.4473 -0.9851 5.8705 -1.8652 3.4225 0.7164" Properties=species:S:1:pos:R:3 pbc="T T T"
Li -1.8045 -0.3717 3.1101
Sr -4.2148 0.5324 0.4105
Ca -0.1670 0.3065 0.0642
```

Calculated values
SG ... No. 156
Distance to the lowest polymorph of the same formula ... 7.2 kJ/mol of atoms

[3]
First-principles (PBE) data for an optimized crystal structure of Sr7Li4Ca, as listed in the Alexandria database.

Geometry as extended XYZ:
```
12
Lattice="-0.6610 5.3913 -4.0082 4.6352 -1.8088 -8.8818 -6.2108 -1.1704 -6.2344" Properties=species:S:1:pos:R:3 pbc="T T T"
Sr -2.5134 0.3974 -4.7354
Li 1.2120 1.0948 -4.4118
Li -3.4486 1.3173 -14.7126
Sr 1.1301 -0.9711 -7.1771
Sr -1.7621 -0.5836 -11.8633
Sr -0.3305 2.6956 -2.0041
Sr 0.2769 2.0147 -14.3891
Li -3.1477 1.5503 -8.7645
Ca 0.0000 0.0000 0.0000
Li 0.9111 0.8618 -10.3599
Sr -0.4745 2.9957 -7.2612
Sr -3.3667 3.3832 -11.9474
```

Calculated values
SG ... No. 12

[4]
First-principles (PBE) data for an optimized crystal structure of Sr2LiCa4, as listed in the Alexandria database.

Geometry as extended XYZ:
```
7
Lattice="-1.5616 0.2020 -3.7393 -5.3292 -5.4455 1.9314 -2.5727 9.5978 3.7940" Properties=species:S:1:pos:R:3 pbc="T T T"
Sr -6.5977 1.0052 0.6084
Ca -3.0756 0.0118 -0.9162
Ca -4.9735 6.7428 0.2400
Li 0.0000 0.0000 0.0000
Sr -2.8658 3.3491 1.3777
Ca -6.3879 4.3425 2.9022
Ca -4.4900 -2.3884 1.7461
```

Calculated values
SG ... No. 12

[5]
First-principles (PBE) data for an optimized crystal structure of Sr2Li16Ca, as listed in the Alexandria database.

Geometry as extended XYZ:
```
19
Lattice="-1.4345 6.8634 -3.6387 -3.9356 3.4141 5.9379 6.1187 3.9735 3.0292" Properties=species:S:1:pos:R:3 pbc="T T T"
Li 0.8258 6.0100 -1.6352
Ca 0.6778 12.9032 4.8245
Li 3.1079 3.8197 3.9021
Li 2.9380 1.9687 1.4764
Li 3.3773 6.9101 3.3709
Li -0.6847 3.3547 -1.7216
Sr 0.4845 9.2236 3.4487
Li -1.7508 6.6248 4.8545
Li -0.9252 3.5953 5.0689
Li -2.1797 5.8428 -0.7657
Li -3.1830 4.4592 3.0757
Sr 0.2579 4.9087 1.8354
Li -0.4751 8.3841 -0.0299
Li 1.1940 5.8808 5.2584
Li -1.8843 1.7004 2.8714
Li 2.4273 7.5816 0.5363
Li 0.0818 1.5579 0.5825
Li 3.8555 4.8508 1.0395
Li -2.5304 7.3058 1.9705
```

Calculated values
SG ... No. 160

[6]
First-principles (PBE) data for an optimized crystal structure of Sr2Li10Ca, as listed in the Alexandria database.

Geometry as extended XYZ:
```
26
Lattice="6.3407 0.0000 0.0001 0.0000 6.8768 0.0000 0.0002 0.0000 17.9289" Properties=species:S:1:pos:R:3 pbc="T T T"
Li 0.0001 3.2182 3.9790
Li 6.3408 4.8251 11.6586
Li 4.6431 4.5437 5.8756
Li 1.6977 1.1053 3.0889
Li 0.0001 6.6566 4.9855
Li 1.6978 4.5437 5.8755
Sr 3.1705 1.1233 7.0417
Li 4.6432 2.3331 12.0535
Li 4.6432 5.7716 14.8401
Sr 3.1704 4.5618 1.9229
Li 0.0002 1.3867 15.2348
Sr 3.1706 2.3151 16.0061
Li 0.0000 2.9289 1.2190
Ca 0.0001 3.4384 8.9645
Li 0.0002 0.2203 12.9434
Li 0.0002 0.5095 10.1834
Li 6.3408 6.3674 7.7456
Ca 0.0000 0.0000 0.0000
Sr 3.1705 5.7535 10.8873
Li 1.6979 5.7716 14.8400
Li 0.0002 3.6587 13.9499
Li 6.3407 5.4901 2.6942
Li 6.3409 3.9479 16.7100
Li 4.6430 1.1053 3.0890
Li 1.6979 2.3332 12.0534
Li 0.0001 2.0517 6.2703
```

Calculated values
SG ... No. 55

[7]
First-principles (PBE) data for an optimized crystal structure of Sr4Li2Ca, as listed in the Alexandria database.

Geometry as extended XYZ:
```
7
Lattice="6.3072 0.0000 0.0000 3.1536 5.4622 0.0000 3.1536 1.8207 9.6433" Properties=species:S:1:pos:R:3 pbc="T T T"
Ca 0.0000 0.0000 0.0000
Li 9.4608 5.4622 3.1163
Sr 9.4608 5.4622 6.5590
Sr 6.3072 3.6415 8.3249
Sr 6.3072 3.6415 1.3184
Sr 3.1536 1.8207 3.0844
Li 3.1536 1.8207 6.5271
```

Calculated values
SG ... No. 166
Distance to the lowest polymorph of the same formula ... 10.3 kJ/mol of atoms

[8]
First-principles (PBE) data for an optimized crystal structure of Sr3LiCa12, as listed in the Alexandria database.

Geometry as extended XYZ:
```
16
Lattice="-3.4861 2.9384 3.3028 -4.3351 -3.0961 -1.8213 3.3444 -14.1813 16.1468" Properties=species:S:1:pos:R:3 pbc="T T T"
Sr 2.5385 -10.7639 12.2557
Ca -1.3612 -10.8891 13.0492
Li 0.0000 0.0000 0.0000
Sr 1.6722 -7.0907 8.0734
Ca -3.9106 -0.0788 0.7407
Ca 1.2331 -11.1504 16.0200
Ca -0.5061 -3.7760 7.6235
Ca 0.3644 -7.4670 11.8260
Ca -1.7992 -3.1097 0.8675
Ca 0.8086 -14.1677 13.4580
Ca -2.2384 -7.1695 8.8141
Ca -0.9305 -6.7932 5.0615
Ca -1.3748 -0.0925 3.4295
Ca -0.0601 -10.4842 9.2640
Ca -3.1156 -3.4499 4.5790
Sr 0.8060 -3.4175 3.8911
```

Calculated values
SG ... No. 123

[9]
First-principles (PBE) data for an optimized crystal structure of Sr2LiCa3, as listed in the Alexandria database.

Geometry as extended XYZ:
```
6
Lattice="-1.9279 -2.8671 -1.8535 5.0888 -1.2575 -3.3477 3.2277 -7.0555 7.5565" Properties=species:S:1:pos:R:3 pbc="T T T"
Ca -0.3985 -2.6696 0.3970
Sr 1.6002 -3.4979 3.7463
Li 2.6537 -4.4084 -0.0879
Ca 3.6952 -6.6850 2.3503
Ca 1.7300 -7.3223 5.3801
Sr 2.5660 -0.6761 -1.6232
```

Calculated values
SG ... No. 25
Distance to the lowest polymorph of the same formula ... 2.8 kJ/mol of atoms

[10]
First-principles (PBE) data for an optimized crystal structure of SrLiCa14, as listed in the Alexandria database.

Geometry as extended XYZ:
```
16
Lattice="-2.6779 1.5843 -7.2318 -1.8523 -7.5937 -0.9406 -9.8104 1.8917 4.0471" Properties=species:S:1:pos:R:3 pbc="T T T"
Sr -2.1619 -4.1518 -3.2999
Ca -4.3942 -6.0165 -0.6912
Ca -4.8142 -1.3451 -3.8935
Ca -3.5010 -3.3599 -6.9161
Ca -7.0671 -3.2055 -1.2766
Li -2.5742 0.4319 -6.4419
Ca -8.3760 -1.1931 1.8316
Ca -10.6932 -4.2669 -2.3486
Ca -3.4410 -2.1447 -0.2043
Ca -7.4799 1.3833 -4.4221
Ca -8.4060 -2.4130 -4.8924
Ca -9.7402 -0.3952 -1.8614
Ca -9.3198 -5.0668 1.3407
Ca -5.7582 -5.2185 -4.3845
Ca -1.2355 -0.3547 -2.8292
Ca -6.1411 0.5914 -0.8066
```

Calculated values
SG ... No. 38

[11]
First-principles (PBE) data for an optimized crystal structure of SrLiCa2, as listed in the Alexandria database.

Geometry as extended XYZ:
```
8
Lattice="-5.2204 -0.0934 -2.6408 2.6424 -0.2332 -5.2152 1.2541 -9.1170 4.3254" Properties=species:S:1:pos:R:3 pbc="T T T"
Sr -1.3139 -6.7744 -3.6450
Li -2.6276 -4.6869 -1.1218
Li 1.3038 -4.7568 -2.4089
Ca -0.0251 -6.6698 0.2856
Ca 1.3212 -0.1166 -2.6076
Sr -0.0100 -2.6693 0.1143
Ca -1.2988 -2.7739 -3.8163
Ca -2.6102 -0.0467 -1.3204
```

Calculated values
SG ... No. 139
Distance to the lowest polymorph of the same formula ... 0.4 kJ/mol of atoms

[12]
First-principles (PBE) data for an optimized crystal structure of Sr3LiCa3, as listed in the Alexandria database.

Geometry as extended XYZ:
```
14
Lattice="7.0605 0.5736 -0.6777 -2.1818 6.7394 -0.6777 0.1423 0.2133 13.0799" Properties=species:S:1:pos:R:3 pbc="T T T"
Ca 0.6566 0.9842 10.4224
Li 4.1375 6.2020 11.2288
Ca 4.3644 6.5421 1.3021
Ca 5.4451 4.5290 8.6039
Ca -0.4241 2.9974 3.1206
Li 0.8835 1.3244 0.4957
Sr 0.6242 4.8675 -0.6777
Sr 5.5202 1.7553 5.8623
Sr -0.4992 5.7710 5.8623
Ca 2.0907 6.7668 8.6039
Sr 1.9933 2.9879 7.5739
Sr 3.0277 4.5385 4.1506
Sr 4.2545 2.4456 -0.6777
Ca 2.9304 0.7595 3.1206
```

Calculated values
SG ... No. 12

Calculated VASP energy in order - -16.2 -5.3 -19.8 -12.6 -35.7 -45.1 -11.4 -30.5 -10.8 -31.2 -15.0 -24.7 eV/cell
Calculated energy of formation in order - 1.31 0.29 1.63 0.70 0.33 1.94 1.21 0.46 0.46 0.44 0.09 0.59 eV per formula unit
Calculated total moment in order - 0.0 0.0 0.0 0.0 0.0 0.0 0.0 0.0 0.0 0.0 0.0 0.0 Bohr magnetons per cell